A relaxed TePt2Pb crystal, computed with PBE.

a = 5.8001 Å, b = 5.8001 Å, c = 5.8001 Å
α = 144.59°, β = 129.46°, γ = 63.22°
With the nearest neighbours (Å) after each atom.
Element x y z (fractional)
Pb  0.2502  0.7502  0.5000  8 Pt 3.04-3.33, 4 Te 3.25-3.34
Pt  0.9644  0.9644  0.0000  2 Pt 2.77
Pt  0.7486  0.2486  0.5000  2 Te 2.74, 2 Pt 2.77, 4 Pb 3.04
Te  0.5369  0.5369  0.0000  2 Pt 2.74

Calculated values
The calculation puts the total energy at -18.82 eV per cell. Its magnetization is 0.0000 μB per atom. The space-group type is Imm2 (44). The density of states at the Fermi level comes out at 0.30 states/eV per atom.